1.
Compound: Ac2SmInS6
Source: the Alexandria database
Functional: PBE-GGA
Structure: optimized geometry

Results
The total magnetization is 0.0 Bohr magnetons per cell. As for the formation energy without anion corrections: -16.8 eV/f.u.

Cell lengths 7.261, 7.261, 7.419 Å; angles 60.70, 60.70, 60.00 degrees
Fractional positions:
S (0.453, 0.672, 0.770)
Sm (0.814, 0.814, 0.559)
S (0.182, 0.966, 0.260)
Ac (0.032, 0.032, 0.903)
S (0.966, 0.592, 0.260)
S (0.672, 0.105, 0.770)
S (0.592, 0.182, 0.260)
S (0.105, 0.453, 0.770)
In (0.315, 0.314, 0.057)
Ac (0.531, 0.531, 0.408)

=====

2.
Compound: SrTm4Ag5
Source: the Alexandria database
Functional: PBE-GGA
Structure: optimized geometry

Results
Its total energy is -3.6961 eV per atom. The total magnetization is 0.0 Bohr magnetons per cell.

Cell lengths 3.616, 3.616, 18.567 Å; angles 90.00, 90.00, 90.00 degrees
Fractional positions:
Ag (0.500, 0.500, 0.694)
Tm (0.000, 0.000, 0.404)
Tm (0.000, 0.000, 0.209)
Sr (0.000, 0.000, 0.000)
Ag (0.500, 0.500, 0.306)
Ag (0.500, 0.500, 0.879)
Tm (0.000, 0.000, 0.596)
Tm (0.000, 0.000, 0.791)
Ag (0.500, 0.500, 0.500)
Ag (0.500, 0.500, 0.121)

=====

3.
Compound: CaFeTc3
Source: the Alexandria database
Functional: PBE-GGA
Structure: optimized geometry

Results
The total magnetization is 0.0 Bohr magnetons per cell. As for the relative energy among the computed polymorphs: 0.0000 eV per atom.

Cell lengths 4.514, 4.514, 4.514 Å; angles 90.00, 90.00, 90.00 degrees
Fractional positions:
Tc (0.000, 0.500, 0.000)
Tc (0.500, 0.000, 0.000)
Tc (0.000, 0.000, 0.500)
Fe (0.000, 0.000, 0.000)
Ca (0.500, 0.500, 0.500)

=====

4.
Compound: Cs3Pu2ScTe6
Source: the Alexandria database
Functional: PBE-GGA
Structure: optimized geometry

Results
The total magnetization is 10.0 Bohr magnetons per cell. As for the formation energy without anion corrections: -13.6 eV/f.u.

Cell lengths 7.879, 7.879, 9.249 Å; angles 98.18, 98.18, 120.00 degrees
Fractional positions:
Te (0.257, 0.257, 0.813)
Cs (0.500, 0.500, 0.500)
Cs (0.170, 0.830, 0.500)
Pu (0.666, 0.334, 0.000)
Te (0.938, 0.619, 0.814)
Cs (0.830, 0.170, 0.500)
Te (0.619, 0.938, 0.814)
Pu (0.334, 0.666, 0.000)
Te (0.062, 0.381, 0.186)
Te (0.743, 0.743, 0.187)
Sc (0.000, 0.000, 0.000)
Te (0.381, 0.062, 0.186)

=====

5.
Compound: Hf4Zr6Sc
Source: the Alexandria database
Functional: PBE-GGA
Structure: optimized geometry

Results
Its total energy is -8.6664 eV per atom. The total magnetization is 0.0 Bohr magnetons per cell.

Cell lengths 3.171, 9.782, 9.782 Å; angles 120.00, 90.00, 90.00 degrees
Fractional positions:
Hf (0.000, 0.333, 0.667)
Hf (0.500, 0.334, 0.167)
Zr (0.000, 0.518, 0.037)
Hf (0.500, 0.833, 0.666)
Zr (0.000, 0.518, 0.482)
Zr (0.500, 0.178, 0.355)
Sc (0.000, 0.000, 0.000)
Zr (0.500, 0.645, 0.822)
Hf (0.500, 0.833, 0.167)
Zr (0.000, 0.963, 0.482)
Zr (0.500, 0.178, 0.822)

=====

6.
Compound: SrAc12Pr6
Source: the Alexandria database
Functional: PBE-GGA
Structure: optimized geometry

Results
Its total energy is -4.0118 eV per atom. The total magnetization is 0.0 Bohr magnetons per cell.

Cell lengths 9.552, 9.552, 9.552 Å; angles 98.21, 98.21, 98.21 degrees
Fractional positions:
Ac (0.735, 0.265, 0.000)
Ac (0.735, 0.000, 0.265)
Pr (0.589, 0.857, 0.857)
Ac (0.000, 0.735, 0.265)
Ac (0.265, 0.735, 0.000)
Ac (0.000, 0.265, 0.735)
Ac (0.169, 0.590, 0.590)
Ac (0.590, 0.169, 0.590)
Pr (0.857, 0.857, 0.589)
Ac (0.831, 0.410, 0.410)
Pr (0.143, 0.143, 0.411)
Pr (0.143, 0.411, 0.143)
Ac (0.590, 0.590, 0.169)
Ac (0.410, 0.410, 0.831)
Pr (0.857, 0.589, 0.857)
Ac (0.410, 0.831, 0.410)
Sr (0.000, 0.000, 0.000)
Pr (0.411, 0.143, 0.143)
Ac (0.265, 0.000, 0.735)

=====

7.
Compound: NaPu3O8
Source: the Alexandria database
Functional: PBE-GGA
Structure: optimized geometry

Results
The total magnetization is 9.0 Bohr magnetons per cell. As for the formation energy without anion corrections: -30.5 eV/f.u.

Cell lengths 6.882, 6.882, 7.018 Å; angles 60.64, 60.64, 60.00 degrees
Fractional positions:
O (0.330, 0.746, 0.178)
O (0.254, 0.670, 0.822)
Pu (0.500, 0.500, 0.000)
O (0.670, 0.254, 0.822)
O (0.727, 0.727, 0.820)
Na (0.500, 0.500, 0.500)
O (0.273, 0.273, 0.180)
Pu (0.000, 0.500, 0.000)
O (0.254, 0.254, 0.822)
Pu (0.500, 0.000, 0.000)
O (0.746, 0.746, 0.178)
O (0.746, 0.330, 0.178)

=====

8.
Compound: LuFePdRh
Source: the Alexandria database
Functional: PBE-GGA
Structure: optimized geometry

Results
Its total energy is -6.8221 eV per atom. The total magnetization is 3.6 Bohr magnetons per cell.

Cell lengths 4.539, 4.539, 4.539 Å; angles 60.00, 60.00, 60.00 degrees
Fractional positions:
Lu (0.750, 0.750, 0.750)
Fe (0.250, 0.250, 0.250)
Pd (0.000, 0.000, 0.000)
Rh (0.500, 0.500, 0.500)

=====

9.
Compound: FeCuC
Source: the Alexandria database
Functional: PBE-GGA
Structure: optimized geometry

Results
The total magnetization is 0.0 Bohr magnetons per cell. As for the relative energy among the computed polymorphs: 0.0389 eV per atom.

Cell lengths 3.046, 3.047, 4.149 Å; angles 68.52, 68.50, 60.11 degrees
Fractional positions:
C (0.058, 0.257, 0.034)
Cu (0.846, 0.045, 0.669)
Fe (0.348, 0.547, 0.164)

=====

10.
Compound: BaNaHg2F8
Source: the Alexandria database
Functional: PBE-GGA
Structure: optimized geometry

Results
The total magnetization is 1.1 Bohr magnetons per cell. As for the formation energy without anion corrections: -25.4 eV/f.u.

Cell lengths 5.844, 5.844, 6.973 Å; angles 114.78, 114.78, 90.00 degrees
Fractional positions:
F (0.882, 0.393, 0.242)
F (0.152, 0.640, 0.758)
F (0.359, 0.848, 0.242)
Na (0.000, 0.000, 0.000)
Ba (0.750, 0.250, 0.500)
F (0.606, 0.118, 0.758)
F (0.607, 0.641, 0.758)
F (0.152, 0.118, 0.758)
Hg (0.500, 0.500, 0.000)
Hg (0.250, 0.750, 0.500)
F (0.360, 0.394, 0.242)
F (0.882, 0.848, 0.242)

=====

11.
Compound: Dy4Ge2Ir
Source: the Alexandria database
Functional: PBE-GGA
Structure: optimized geometry

Results
Its total energy is -5.8548 eV per atom. The total magnetization is 0.0 Bohr magnetons per cell.

Cell lengths 4.364, 7.282, 7.154 Å; angles 119.72, 107.76, 90.00 degrees
Fractional positions:
Dy (0.388, 0.703, 0.777)
Dy (0.870, 0.221, 0.740)
Ge (0.768, 0.767, 0.536)
Dy (0.130, 0.779, 0.260)
Dy (0.612, 0.297, 0.223)
Ge (0.232, 0.233, 0.464)
Ir (0.000, 0.000, 0.000)

=====

12.
Compound: SmEu2Y
Source: the Alexandria database
Functional: PBE-GGA
Structure: optimized geometry

Results
The total magnetization is 14.5 Bohr magnetons per cell. As for the relative energy among the computed polymorphs: 0.0615 eV per atom.

Cell lengths 5.895, 5.895, 5.895 Å; angles 60.00, 60.00, 60.00 degrees
Fractional positions:
Y (0.500, 0.500, 0.500)
Eu (0.250, 0.250, 0.250)
Sm (0.000, 0.000, 0.000)
Eu (0.750, 0.750, 0.750)

=====

13.
Compound: AlZn2In
Source: the Alexandria database
Functional: PBE-GGA
Structure: optimized geometry

Results
The total magnetization is 0.0 Bohr magnetons per cell. As for the relative energy among the computed polymorphs: 0.1418 eV per atom.

Cell lengths 4.780, 4.780, 4.780 Å; angles 60.00, 60.00, 60.00 degrees
Fractional positions:
Al (0.500, 0.500, 0.500)
In (0.750, 0.750, 0.750)
Zn (0.000, 0.000, 0.000)
Zn (0.250, 0.250, 0.250)

=====

14.
Compound: InOsRh2
Source: the Alexandria database
Functional: PBE-GGA
Structure: optimized geometry

Results
Its total energy is -7.2098 eV per atom. The total magnetization is 0.0 Bohr magnetons per cell.

Cell lengths 2.825, 2.825, 7.793 Å; angles 90.00, 90.00, 90.00 degrees
Fractional positions:
Rh (0.000, 0.000, 0.732)
In (0.500, 0.500, 0.000)
Rh (0.000, 0.000, 0.268)
Os (0.500, 0.500, 0.500)

=====

15.
Compound: Nb3TlMo
Source: the Alexandria database
Functional: PBE-GGA
Structure: optimized geometry

Results
The total magnetization is 0.0 Bohr magnetons per cell. As for the relative energy among the computed polymorphs: 0.0000 eV per atom.

Cell lengths 4.867, 4.867, 4.867 Å; angles 90.00, 90.00, 90.00 degrees
Fractional positions:
Mo (0.000, 0.000, 0.000)
Nb (0.000, 0.500, 0.000)
Nb (0.000, 0.000, 0.500)
Nb (0.500, 0.000, 0.000)
Tl (0.500, 0.500, 0.500)

=====

16.
Compound: NaYAl2H
Source: the Alexandria database
Functional: PBE-GGA
Structure: optimized geometry

Results
Its total energy is -3.2367 eV per atom. The total magnetization is 0.0 Bohr magnetons per cell.

Cell lengths 5.494, 3.561, 5.494 Å; angles 90.00, 90.00, 90.00 degrees
Fractional positions:
Y (0.500, 0.500, 0.500)
Al (0.500, 0.000, 0.000)
H (0.000, 0.500, 0.000)
Al (0.000, 0.000, 0.500)
Na (0.000, 0.000, 0.000)

=====

17.
Compound: Pr2AgC2N6
Source: the Alexandria database
Functional: PBE-GGA
Structure: optimized geometry

Results
The total magnetization is 0.3 Bohr magnetons per cell. As for the formation energy without anion corrections: -1.0 eV/f.u.

Cell lengths 6.972, 6.000, 6.019 Å; angles 113.93, 90.00, 54.46 degrees
Fractional positions:
N (0.892, 0.539, 0.261)
N (0.108, 0.461, 0.739)
N (0.569, 0.539, 0.261)
N (0.075, 0.850, 0.681)
C (0.802, 0.396, 0.284)
C (0.198, 0.604, 0.716)
Ag (0.500, 0.000, 0.500)
N (0.431, 0.461, 0.739)
N (0.925, 0.150, 0.319)
Pr (0.813, 0.375, 0.807)
Pr (0.187, 0.625, 0.193)

=====

18.
Compound: LiInS2
Source: the Alexandria database
Functional: PBE-GGA
Structure: optimized geometry

Results
The total magnetization is 0.0 Bohr magnetons per cell. As for the formation energy without anion corrections: -3.4 eV/f.u.

Cell lengths 16.858, 7.711, 7.711 Å; angles 75.18, 113.30, 66.70 degrees
Fractional positions:
S (0.995, 0.185, 0.291)
Li (0.634, 0.021, 0.252)
S (0.750, 0.267, 0.767)
S (0.528, 0.238, 0.837)
S (0.742, 0.212, 0.295)
S (0.505, 0.791, 0.685)
In (0.879, 0.298, 0.418)
In (0.367, 0.605, 0.110)
In (0.379, 0.082, 0.202)
S (0.472, 0.762, 0.163)
Li (0.345, 0.507, 0.629)
S (0.250, 0.733, 0.233)
Li (0.845, 0.871, 0.993)
S (0.258, 0.788, 0.705)
In (0.121, 0.702, 0.582)
S (0.242, 0.205, 0.288)
In (0.621, 0.918, 0.798)
S (0.750, 0.713, 0.213)
S (0.758, 0.795, 0.712)
S (0.495, 0.209, 0.315)
In (0.867, 0.390, 0.895)
S (0.972, 0.337, 0.738)
Li (0.655, 0.493, 0.371)
Li (0.134, 0.248, 0.479)
Li (0.866, 0.752, 0.521)
S (0.028, 0.663, 0.262)
S (0.250, 0.287, 0.787)
Li (0.155, 0.129, 0.007)
In (0.133, 0.610, 0.105)
In (0.633, 0.395, 0.890)
Li (0.366, 0.979, 0.748)
S (0.005, 0.815, 0.709)

=====

19.
Compound: Tb9Sm2Er
Source: the Alexandria database
Functional: PBE-GGA
Structure: optimized geometry

Results
The total magnetization is 0.0 Bohr magnetons per cell. As for the relative energy among the computed polymorphs: 0.0392 eV per atom.

Cell lengths 3.495, 11.272, 11.272 Å; angles 120.00, 90.00, 90.00 degrees
Fractional positions:
Sm (0.000, 0.667, 0.333)
Tb (0.000, 0.000, 0.500)
Tb (0.500, 0.826, 0.174)
Tb (0.000, 0.500, 0.000)
Tb (0.500, 0.826, 0.653)
Er (0.000, 0.000, 0.000)
Tb (0.500, 0.347, 0.174)
Sm (0.000, 0.333, 0.667)
Tb (0.500, 0.653, 0.826)
Tb (0.500, 0.174, 0.826)
Tb (0.000, 0.500, 0.500)
Tb (0.500, 0.174, 0.347)

=====

20.
Compound: BeTlRu4
Source: the Alexandria database
Functional: PBE-GGA
Structure: optimized geometry

Results
Its total energy is -6.4316 eV per atom. The total magnetization is 2.4 Bohr magnetons per cell.

Cell lengths 5.151, 5.151, 5.151 Å; angles 60.00, 60.00, 60.00 degrees
Fractional positions:
Ru (0.375, 0.876, 0.375)
Ru (0.375, 0.375, 0.876)
Tl (0.750, 0.750, 0.750)
Ru (0.375, 0.375, 0.375)
Ru (0.876, 0.375, 0.375)
Be (0.000, 0.000, 0.000)